VASP calculation (PBE) on a geometry-optimized YMoS2 structure.

a = 7.494 Å, b = 7.494 Å, c = 7.494 Å
α = 138.49°, β = 138.49°, γ = 60.15°
Sites, in units of the cell vectors:
Y: 0.000 0.000 0.000
Y: 0.750 0.250 0.500
Mo: 0.250 0.750 0.500
Mo: 0.500 0.500 0.000
S: 0.185 0.625 0.060
S: 0.375 0.435 0.560
S: 0.565 0.125 0.940
S: 0.875 0.815 0.440

Computed properties:
Relative energy among the computed polymorphs = 9.8 meV per atom
Energy relative to the elements, uncorrected = -74.4 kJ/mol of atoms
Energy = -28.63 eV/f.u.
Space group = I-42d, No. 122
Total moment = 0.00 μB/f.u.